No. 1
A geometry-optimized La3Zn2Pd structure. Source: Alexandria via LeMat-Bulk, functional PBE.

Raw total energy (eV/atom): -4.2167
Formation energy (eV per atom): -0.4628
Total moment (μB/f.u.): 0.0

```
data_La3Zn2Pd
_chemical_formula_sum 'La3 Zn2 Pd1'
_cell_length_a 3.765
_cell_length_b 3.765
_cell_length_c 11.037
_cell_angle_alpha 90.00
_cell_angle_beta 90.00
_cell_angle_gamma 90.00
_symmetry_space_group_name_H-M 'P 4/m m m'
_symmetry_Int_Tables_number 123
_symmetry_space_group_name_Hall '-P 4 2'
loop_
_atom_site_label
_atom_site_fract_x
_atom_site_fract_y
_atom_site_fract_z
La1 0.000 0.000 0.000
La2 0.000 0.000 0.340
Zn1 0.500 0.500 0.166
Pd1 0.500 0.500 0.500
```

No. 2
A geometry-optimized La3Zn6Pd5 structure. Source: Alexandria via LeMat-Bulk, functional PBE.

Raw total energy (eV/atom): -4.1035
Formation energy (eV per atom): -0.6471
Total moment (μB/f.u.): 0.0

```
data_La3Zn6Pd5
_chemical_formula_sum 'La6 Zn12 Pd10'
_cell_length_a 4.356
_cell_length_b 13.073
_cell_length_c 9.608
_cell_angle_alpha 90.00
_cell_angle_beta 90.00
_cell_angle_gamma 90.00
_symmetry_space_group_name_H-M 'P m m n'
_symmetry_Int_Tables_number 59
loop_
_symmetry_equiv_pos_as_xyz
'x,y,z'
'-x,-y,-z'
'-x+1/2,-y+1/2,z'
'x+1/2,y+1/2,-z'
'x+1/2,-y,-z'
'-x+1/2,y,z'
'-x,y+1/2,-z'
'x,-y+1/2,z'
loop_
_atom_site_label
_atom_site_fract_x
_atom_site_fract_y
_atom_site_fract_z
La1 0.250 0.062 0.247
La2 0.250 0.750 0.266
Zn1 0.250 0.067 0.586
Zn2 0.250 0.250 0.021
Zn3 0.250 0.250 0.454
Zn4 0.250 0.607 0.987
Pd1 0.250 0.085 0.864
Pd2 0.250 0.638 0.542
Pd3 0.250 0.750 0.795
```

No. 3
A geometry-optimized LaZnPd structure. Source: Alexandria via LeMat-Bulk, functional PBE.

Raw total energy (eV/atom): -4.4710
Formation energy (eV per atom): -0.6729
Total moment (μB/f.u.): 0.0

```
data_LaZnPd
_chemical_formula_sum 'La1 Zn1 Pd1'
_cell_length_a 4.4900
_cell_length_b 4.4900
_cell_length_c 3.9334
_cell_angle_alpha 90.00
_cell_angle_beta 90.00
_cell_angle_gamma 120.00
_symmetry_space_group_name_H-M 'P -6 m 2'
_symmetry_Int_Tables_number 187
_symmetry_space_group_name_Hall 'P -6 2'
loop_
_atom_site_label
_atom_site_fract_x
_atom_site_fract_y
_atom_site_fract_z
La1 0.0000 0.0000 0.0000
Zn1 0.3333 0.6667 0.5000
Pd1 0.6667 0.3333 0.5000
```